Below is a crystal of TaRe2Os relaxed with PBEsol, with properties calculated at the meta-GGA SCAN level.

DOS at the Fermi energy	3.1	states/eV per cell
formation energy	0.003	eV per atom
SG	P4/mmm (123)
calculated total energy	-280.64	eV for the cell shown

```
TaRe2Os
1.0
2.7425 0.0000 0.0000
0.0000 2.7425 0.0000
0.0000 0.0000 8.1162
Os Re Ta
1 2 1
Direct
0.5000 0.5000 0.5000
0.0000 0.0000 0.7300
0.0000 0.0000 0.2700
0.5000 0.5000 0.0000
```